Entry P
This record from Alexandria describes Pm2DyPt after structural relaxation. The functional is PBE.

Cell lengths 6.5583, 7.1359, 9.9441 Å; angles 90.00, 90.00, 90.00 degrees
With the nearest neighbours (Å) after each atom.
Atoms (fractional coordinates):
Pm (0.1763, 0.6816, 0.0612)  2 Pt 2.95-2.98
Pm (0.3237, 0.1816, 0.4388)  2 Pt 2.95-2.98
Pm (0.8237, 0.3184, 0.5612)  2 Pt 2.95-2.98
Pm (0.6763, 0.8184, 0.9388)  2 Pt 2.95-2.98
Pm (0.8237, 0.3184, 0.9388)  2 Pt 2.95-2.98
Pm (0.6763, 0.8184, 0.5612)  2 Pt 2.95-2.98
Pm (0.1763, 0.6816, 0.4388)  2 Pt 2.95-2.98
Pm (0.3237, 0.1816, 0.0612)  2 Pt 2.95-2.98
Dy (0.6417, 0.5303, 0.2500)  2 Pt 2.83-2.87
Dy (0.8583, 0.0303, 0.2500)  2 Pt 2.83-2.87
Dy (0.3583, 0.4697, 0.7500)  2 Pt 2.83-2.87
Dy (0.1417, 0.9697, 0.7500)  2 Pt 2.83-2.87
Pt (0.0498, 0.3851, 0.2500)  2 Dy 2.83-2.87, 4 Pm 2.95-2.98
Pt (0.4502, 0.8851, 0.2500)  2 Dy 2.83-2.87, 4 Pm 2.95-2.98
Pt (0.9502, 0.6149, 0.7500)  2 Dy 2.83-2.87, 4 Pm 2.95-2.98
Pt (0.5498, 0.1149, 0.7500)  2 Dy 2.83-2.87, 4 Pm 2.95-2.98

Results
The magnetization comes out at 0.00 μB per formula unit. Its density of states at the Fermi level is 0.9572 states/eV/atom.

***

Entry Q
This record from Alexandria describes Pm2DyPt after structural relaxation. The functional is PBE.

Cell lengths 3.6648, 3.6648, 8.4906 Å; angles 90.00, 90.00, 90.00 degrees
With the nearest neighbours (Å) after each atom.
Atoms (fractional coordinates):
Pm (0.0000, 0.0000, 0.8016)  4 Pt 3.09, 1 Pm 3.37
Pm (0.0000, 0.0000, 0.1984)  4 Pt 3.09, 1 Pm 3.37
Pt (0.5000, 0.5000, 0.0000)  8 Pm 3.09
Dy (0.5000, 0.5000, 0.5000)  8 Pm 3.64, 4 Dy 3.66

Results
The magnetization comes out at 0.00 μB per formula unit. Its density of states at the Fermi level is 1.5288 states/eV/atom.

***

Entry R
This record from Alexandria describes Pm2DyPt after structural relaxation. The functional is PBE.

Cell lengths 3.9730, 3.9730, 9.5046 Å; angles 77.94, 77.94, 60.00 degrees
With the nearest neighbours (Å) after each atom.
Atoms (fractional coordinates):
Pm (0.0624, 0.0624, 0.8127)  3 Pt 2.88
Pm (0.2707, 0.2707, 0.1880)  3 Pt 2.87
Dy (0.5008, 0.5008, 0.4975)  6 Pm 3.66-3.70, 6 Dy 3.97
Pt (0.6661, 0.6661, 0.0018)  6 Pm 2.87-2.88

Results
The magnetization comes out at 0.00 μB per formula unit. Its density of states at the Fermi level is 1.1880 states/eV/atom.

***

Entry S
This record from Alexandria describes Pm2DyPt after structural relaxation. The functional is PBE.

Cell lengths 3.4568, 3.4568, 11.4674 Å; angles 81.33, 81.33, 60.00 degrees
With the nearest neighbours (Å) after each atom.
Atoms (fractional coordinates):
Pm (0.0793, 0.0793, 0.7620)  1 Pt 2.69
Pm (0.9207, 0.9207, 0.2380)  1 Pt 2.69
Pt (0.0000, 0.0000, 0.0000)  2 Pm 2.69
Dy (0.5000, 0.5000, 0.5000)  6 Dy 3.46, 6 Pm 3.57

Results
The magnetization comes out at 0.00 μB per formula unit. Its density of states at the Fermi level is 0.8407 states/eV/atom.

***

Least stable of them? entry S.

***

Entry P
This record from Alexandria describes PmDyPt2 after structural relaxation. The functional is PBE.

Cell lengths 4.0813, 4.0813, 7.3284 Å; angles 73.83, 73.83, 60.00 degrees
With the nearest neighbours (Å) after each atom.
Atoms (fractional coordinates):
Pm (0.6699, 0.6699, 0.9904)  6 Pt 2.94-3.03
Dy (0.4973, 0.4973, 0.5082)  6 Pt 2.84-2.90
Pt (0.0878, 0.0878, 0.7366)  3 Dy 2.84, 3 Pm 2.94
Pt (0.2451, 0.2451, 0.2647)  3 Dy 2.90, 3 Pm 3.03

Results
The magnetization comes out at 0.00 μB per formula unit. Its density of states at the Fermi level is 0.5060 states/eV/atom.

***

Entry Q
This record from Alexandria describes PmDyPt2 after structural relaxation. The functional is PBE.

Cell lengths 5.0096, 5.0096, 5.0096 Å; angles 60.00, 60.00, 60.00 degrees
With the nearest neighbours (Å) after each atom.
Atoms (fractional coordinates):
Pm (0.5000, 0.5000, 0.5000)  8 Pt 3.07
Pt (0.2500, 0.2500, 0.2500)  4 Pm 3.07, 4 Dy 3.07
Pt (0.7500, 0.7500, 0.7500)  4 Dy 3.07, 4 Pm 3.07
Dy (0.0000, 0.0000, 0.0000)  8 Pt 3.07

Results
The magnetization comes out at 0.00 μB per formula unit. Its density of states at the Fermi level is 0.8597 states/eV/atom.

***

Entry R
This record from Alexandria describes PmDyPt2 after structural relaxation. The functional is PBE.

Cell lengths 3.8339, 4.5104, 5.6802 Å; angles 90.00, 109.76, 90.00 degrees
With the nearest neighbours (Å) after each atom.
Atoms (fractional coordinates):
Pm (0.7211, 0.0000, 0.9813)  7 Pt 2.92-3.10
Dy (0.4461, 0.5000, 0.4310)  7 Pt 2.95-3.07
Pt (0.1696, 0.5000, 0.8786)  2 Pt 2.94, 3 Dy 2.95-3.07, 4 Pm 3.01
Pt (0.9943, 0.0000, 0.5271)  3 Pm 2.92-3.10, 2 Pt 2.94, 4 Dy 3.00

Results
The magnetization comes out at 0.00 μB per formula unit. Its density of states at the Fermi level is 0.6216 states/eV/atom.

***

Entry S
This record from Alexandria describes PmDyPt2 after structural relaxation. The functional is PBE.

Cell lengths 3.5348, 3.5348, 7.1027 Å; angles 90.00, 90.00, 90.00 degrees
With the nearest neighbours (Å) after each atom.
Atoms (fractional coordinates):
Pm (0.5000, 0.5000, 0.5000)  8 Pt 3.12
Pt (0.0000, 0.0000, 0.7639)  4 Dy 3.01, 4 Pm 3.12, 1 Pt 3.35
Pt (0.0000, 0.0000, 0.2361)  4 Dy 3.01, 4 Pm 3.12, 1 Pt 3.35
Dy (0.5000, 0.5000, 0.0000)  8 Pt 3.01

Results
The magnetization comes out at 0.00 μB per formula unit. Its density of states at the Fermi level is 0.7528 states/eV/atom.

***

Least stable of them? entry P.

***

Entry P
This record from Alexandria describes PmDy3Pt2 after structural relaxation. The functional is PBE.

Cell lengths 4.8802, 10.8531, 8.4178 Å; angles 131.88, 90.00, 102.99 degrees
With the nearest neighbours (Å) after each atom.
Atoms (fractional coordinates):
Pm (0.8247, 0.6495, 0.9763)  5 Pt 3.06-3.19, 1 Dy 3.42
Pm (0.1753, 0.3505, 0.0237)  5 Pt 3.06-3.19, 1 Dy 3.42
Dy (0.3252, 0.6504, 0.6715)  2 Pt 2.87-2.95
Dy (0.9523, 0.9046, 0.7415)  3 Pt 2.80-2.86
Dy (0.6034, 0.2068, 0.6231)  4 Pt 2.89-2.93
Dy (0.3966, 0.7932, 0.3769)  4 Pt 2.89-2.93
Dy (0.0477, 0.0954, 0.2585)  3 Pt 2.80-2.86
Dy (0.6748, 0.3496, 0.3285)  2 Pt 2.87-2.95
Pt (0.5445, 0.0889, 0.8478)  5 Dy 2.86-2.95, 2 Pm 3.19
Pt (0.4555, 0.9111, 0.1522)  5 Dy 2.86-2.95, 2 Pm 3.19
Pt (0.8014, 0.6029, 0.2967)  4 Dy 2.80-2.93, 1 Pm 3.06
Pt (0.1986, 0.3971, 0.7033)  4 Dy 2.80-2.93, 1 Pm 3.06

Results
The magnetization comes out at 0.00 μB per formula unit. Its density of states at the Fermi level is 0.9042 states/eV/atom.

***

Entry Q
This record from Alexandria describes PmDy3Pt2 after structural relaxation. The functional is PBE.

Cell lengths 4.7969, 7.2025, 8.8617 Å; angles 90.00, 90.00, 90.00 degrees
With the nearest neighbours (Å) after each atom.
Atoms (fractional coordinates):
Pm (0.5000, 0.5085, 0.5810)  3 Pt 2.89-3.10
Pm (0.5000, 0.0085, 0.4190)  3 Pt 2.89-3.10
Dy (0.0000, 0.4910, 0.9195)  3 Pt 2.84-3.09
Dy (0.0000, 0.9910, 0.0805)  3 Pt 2.84-3.09
Dy (0.5000, 0.6442, 0.1659)  4 Pt 2.88-2.95
Dy (0.5000, 0.1442, 0.8341)  4 Pt 2.88-2.95
Dy (0.0000, 0.3569, 0.3281)  4 Pt 2.87-3.05
Dy (0.0000, 0.8569, 0.6719)  4 Pt 2.87-3.05
Pt (0.5000, 0.7447, 0.8446)  6 Dy 2.88-3.09, 1 Pm 2.89
Pt (0.5000, 0.2447, 0.1554)  6 Dy 2.88-3.09, 1 Pm 2.89
Pt (0.0000, 0.2546, 0.6625)  5 Dy 2.84-3.05, 2 Pm 3.10
Pt (0.0000, 0.7546, 0.3375)  5 Dy 2.84-3.05, 2 Pm 3.10

Results
The magnetization comes out at 0.00 μB per formula unit. Its density of states at the Fermi level is 0.9910 states/eV/atom.

***

Least stable of them? entry P.

***

Entry P
This record from Alexandria describes PmDyPt6 after structural relaxation. The functional is PBE.

Cell lengths 5.3358, 5.3358, 5.3358 Å; angles 90.00, 90.00, 90.00 degrees
With the nearest neighbours (Å) after each atom.
Atoms (fractional coordinates):
Pm (0.5000, 0.5000, 0.5000)  12 Pt 2.99
Dy (0.0000, 0.0000, 0.0000)  12 Pt 2.98
Pt (0.5000, 0.7515, 0.0000)  2 Pt 2.65-2.68
Pt (0.7515, 0.0000, 0.5000)  2 Pt 2.65-2.68
Pt (0.0000, 0.5000, 0.2485)  2 Pt 2.65-2.68
Pt (0.2485, 0.0000, 0.5000)  2 Pt 2.65-2.68
Pt (0.5000, 0.2485, 0.0000)  2 Pt 2.65-2.68
Pt (0.0000, 0.5000, 0.7515)  2 Pt 2.65-2.68

Results
The magnetization comes out at 0.00 μB per formula unit. Its density of states at the Fermi level is 1.4770 states/eV/atom.

***

Entry Q
This record from Alexandria describes PmDyPt6 after structural relaxation. The functional is PBE.

Cell lengths 4.1506, 4.1506, 8.2992 Å; angles 90.00, 90.00, 90.00 degrees
With the nearest neighbours (Å) after each atom.
Atoms (fractional coordinates):
Pm (0.0000, 0.0000, 0.0000)  12 Pt 2.93-2.96
Dy (0.0000, 0.0000, 0.5000)  12 Pt 2.91-2.93
Pt (0.5000, 0.5000, 0.0000)  4 Pm 2.93, 8 Pt 2.96
Pt (0.5000, 0.5000, 0.5000)  8 Pt 2.91, 4 Dy 2.93
Pt (0.5000, 0.0000, 0.2549)  2 Dy 2.91, 8 Pt 2.91-2.96, 2 Pm 2.96
Pt (0.5000, 0.0000, 0.7451)  2 Dy 2.91, 8 Pt 2.91-2.96, 2 Pm 2.96
Pt (0.0000, 0.5000, 0.2549)  2 Dy 2.91, 8 Pt 2.91-2.96, 2 Pm 2.96
Pt (0.0000, 0.5000, 0.7451)  2 Dy 2.91, 8 Pt 2.91-2.96, 2 Pm 2.96

Results
The magnetization comes out at 0.00 μB per formula unit. Its density of states at the Fermi level is 0.8926 states/eV/atom.

***

Least stable of them? entry P.

***

Entry P
This record from Alexandria describes Pm2DyPt2 after structural relaxation. The functional is PBE.

Cell lengths 4.0795, 7.8353, 7.8353 Å; angles 90.00, 90.00, 90.00 degrees
With the nearest neighbours (Å) after each atom.
Atoms (fractional coordinates):
Pm (0.5000, 0.1631, 0.6631)  6 Pt 3.00-3.13
Pm (0.5000, 0.6631, 0.8369)  6 Pt 3.00-3.13
Pm (0.5000, 0.8369, 0.3369)  6 Pt 3.00-3.13
Pm (0.5000, 0.3369, 0.1631)  6 Pt 3.00-3.13
Dy (0.0000, 0.0000, 0.0000)  4 Pt 3.04
Dy (0.0000, 0.5000, 0.5000)  4 Pt 3.04
Pt (0.0000, 0.3620, 0.8620)  6 Pm 3.00-3.13, 2 Dy 3.04, 1 Pt 3.06
Pt (0.0000, 0.8620, 0.6380)  6 Pm 3.00-3.13, 2 Dy 3.04, 1 Pt 3.06
Pt (0.0000, 0.6380, 0.1380)  6 Pm 3.00-3.13, 2 Dy 3.04, 1 Pt 3.06
Pt (0.0000, 0.1380, 0.3620)  6 Pm 3.00-3.13, 2 Dy 3.04, 1 Pt 3.06

Results
The magnetization comes out at 0.00 μB per formula unit. Its density of states at the Fermi level is 0.7582 states/eV/atom.

***

Entry Q
This record from Alexandria describes Pm2DyPt2 after structural relaxation. The functional is PBE.

Cell lengths 6.2442, 8.1158, 7.4416 Å; angles 123.05, 114.81, 90.00 degrees
With the nearest neighbours (Å) after each atom.
Atoms (fractional coordinates):
Pm (0.8461, 0.7099, 0.6922)  3 Pt 2.84-3.02
Pm (0.1539, 0.2901, 0.3078)  3 Pt 2.84-3.02
Pm (0.6539, 0.0177, 0.3078)  3 Pt 2.84-3.02
Pm (0.3461, 0.9823, 0.6922)  3 Pt 2.84-3.02
Dy (0.7500, 0.5000, 0.0000)  4 Pt 2.91, 2 Dy 3.12
Dy (0.2500, 0.5000, 0.0000)  4 Pt 2.91, 2 Dy 3.12
Pt (0.3968, 0.6667, 0.7935)  3 Pm 2.84-3.02, 2 Dy 2.91
Pt (0.6032, 0.3333, 0.2065)  3 Pm 2.84-3.02, 2 Dy 2.91
Pt (0.1032, 0.8732, 0.2065)  3 Pm 2.84-3.02, 2 Dy 2.91
Pt (0.8968, 0.1268, 0.7935)  3 Pm 2.84-3.02, 2 Dy 2.91

Results
The magnetization comes out at 0.00 μB per formula unit. Its density of states at the Fermi level is 0.8411 states/eV/atom.

***

Least stable of them? entry Q.

***

Entry P
This record from Alexandria describes PmDyRuPt after structural relaxation. The functional is PBE.

Cell lengths 4.9367, 4.9367, 4.9367 Å; angles 60.00, 60.00, 60.00 degrees
With the nearest neighbours (Å) after each atom.
Atoms (fractional coordinates):
Ru (0.2500, 0.2500, 0.2500)  4 Dy 3.02, 4 Pm 3.02
Pm (0.5000, 0.5000, 0.5000)  4 Ru 3.02, 4 Pt 3.02
Pt (0.7500, 0.7500, 0.7500)  4 Pm 3.02, 4 Dy 3.02
Dy (0.0000, 0.0000, 0.0000)  4 Pt 3.02, 4 Ru 3.02

Results
The magnetization comes out at 0.00 μB per formula unit. Its density of states at the Fermi level is 0.5940 states/eV/atom.

***

Entry Q
This record from Alexandria describes PmDyRuPt after structural relaxation. The functional is PBE.

Cell lengths 3.4861, 3.4861, 7.0025 Å; angles 90.00, 90.00, 90.00 degrees
With the nearest neighbours (Å) after each atom.
Atoms (fractional coordinates):
Pm (0.5000, 0.5000, 0.1141)  4 Ru 3.03, 4 Pt 3.11
Dy (0.5000, 0.5000, 0.6031)  4 Ru 2.97, 4 Pt 2.99
Ru (0.0000, 0.0000, 0.3664)  4 Dy 2.97, 4 Pm 3.03
Pt (0.0000, 0.0000, 0.8443)  4 Dy 2.99, 4 Pm 3.11, 1 Ru 3.35

Results
The magnetization comes out at 0.00 μB per formula unit. Its density of states at the Fermi level is 0.6326 states/eV/atom.

***

Least stable of them? entry P.

***

Entry P
This record from Alexandria describes Pm2DyPu after structural relaxation. The functional is PBE.

Cell lengths 5.0202, 5.0361, 5.0361 Å; angles 90.00, 90.00, 90.00 degrees
With the nearest neighbours (Å) after each atom.
Atoms (fractional coordinates):
Dy (0.5000, 0.0000, 0.0000)  8 Pm 3.56, 4 Pu 3.56
Pm (0.0000, 0.0000, 0.5000)  4 Dy 3.56, 4 Pu 3.56, 4 Pm 3.56
Pm (0.0000, 0.5000, 0.0000)  4 Dy 3.56, 4 Pu 3.56, 4 Pm 3.56
Pu (0.5000, 0.5000, 0.5000)  8 Pm 3.56, 4 Dy 3.56

Results
The magnetization comes out at 6.25 μB per formula unit. Its density of states at the Fermi level is 4.0361 states/eV/atom.

***

Entry Q
This record from Alexandria describes Pm2DyPu after structural relaxation. The functional is PBE.

Cell lengths 3.5476, 3.5476, 10.1576 Å; angles 90.00, 90.00, 90.00 degrees
With the nearest neighbours (Å) after each atom.
Atoms (fractional coordinates):
Dy (0.5000, 0.5000, 0.5000)  4 Dy 3.55, 8 Pm 3.60
Pm (0.0000, 0.0000, 0.7544)  4 Pu 3.54, 4 Pm 3.55, 4 Dy 3.60
Pm (0.0000, 0.0000, 0.2456)  4 Pu 3.54, 4 Pm 3.55, 4 Dy 3.60
Pu (0.5000, 0.5000, 0.0000)  8 Pm 3.54, 4 Pu 3.55

Results
The magnetization comes out at 6.20 μB per formula unit. Its density of states at the Fermi level is 2.3002 states/eV/atom.

***

Entry R
This record from Alexandria describes Pm2DyPu after structural relaxation. The functional is PBE.

Cell lengths 3.5904, 3.5904, 11.7127 Å; angles 81.18, 81.18, 60.00 degrees
With the nearest neighbours (Å) after each atom.
Atoms (fractional coordinates):
Pm (0.0823, 0.0823, 0.7531)  3 Pu 3.52, 3 Dy 3.58, 6 Pm 3.59
Pm (0.2509, 0.2509, 0.2472)  3 Pu 3.52, 3 Dy 3.57, 6 Pm 3.59
Dy (0.5001, 0.5001, 0.4996)  6 Pm 3.57-3.58, 6 Dy 3.59
Pu (0.6666, 0.6666, 0.0001)  6 Pm 3.52, 6 Pu 3.59

Results
The magnetization comes out at 6.07 μB per formula unit. Its density of states at the Fermi level is 2.9220 states/eV/atom.

***

Least stable of them? entry P.

***

Entry P
This record from Alexandria describes PmDyPu after structural relaxation. The functional is PBE.

Cell lengths 3.5556, 3.5556, 8.5894 Å; angles 90.00, 90.00, 120.00 degrees
With the nearest neighbours (Å) after each atom.
Atoms (fractional coordinates):
Dy (0.0000, 0.0000, 0.0051)  3 Pu 3.47, 6 Dy 3.56, 3 Pm 3.58
Pm (0.3333, 0.6667, 0.6641)  3 Pu 3.52, 6 Pm 3.56, 3 Dy 3.58
Pu (0.6667, 0.3333, 0.3308)  3 Dy 3.47, 3 Pm 3.52, 6 Pu 3.56

Results
The magnetization comes out at 6.23 μB per formula unit. Its density of states at the Fermi level is 2.8699 states/eV/atom.

***

Entry Q
This record from Alexandria describes PmDyPu after structural relaxation. The functional is PBE.

Cell lengths 3.5359, 3.5359, 7.8705 Å; angles 102.98, 102.98, 90.00 degrees
With the nearest neighbours (Å) after each atom.
Atoms (fractional coordinates):
Pm (0.6190, 0.6190, 0.2381)  4 Pu 3.52, 4 Pm 3.54, 4 Dy 3.59
Pu (0.2848, 0.2848, 0.5695)  4 Dy 3.47, 4 Pm 3.52, 4 Pu 3.54
Dy (0.9462, 0.9462, 0.8924)  4 Pu 3.47, 4 Dy 3.54, 4 Pm 3.59

Results
The magnetization comes out at 6.15 μB per formula unit. Its density of states at the Fermi level is 2.3274 states/eV/atom.

***

Least stable of them? entry P.